DFT (PBE-GGA) results for an optimized crystal structure of CaMnOs2.

Structure (CIF):
```
data_CaMnOs2
_chemical_formula_sum 'Ca1 Mn1 Os2'
_cell_length_a 4.984
_cell_length_b 4.984
_cell_length_c 4.984
_cell_angle_alpha 132.98
_cell_angle_beta 132.98
_cell_angle_gamma 68.69
_symmetry_space_group_name_H-M 'P 1'
_symmetry_Int_Tables_number 1
loop_
_symmetry_equiv_pos_as_xyz
'x,y,z'
loop_
_atom_site_label
_atom_site_type_symbol
_atom_site_fract_x
_atom_site_fract_y
_atom_site_fract_z
Ca1 Ca 0.000 0.000 0.000
Mn1 Mn 0.500 0.500 0.000
Os1 Os 0.250 0.750 0.500
Os2 Os 0.750 0.250 0.500
```

ΔE to the lowest computed polymorph ... 0.363 eV/atom
E ... -7.667 eV/atom
Space-group type ... I4/mmm (139)
Formation enthalpy at 0 K ... 0.741 eV per atom